Below is La3NdSb2 after structural relaxation, with properties calculated at the PBE level.

Output
E ... -5.3097 eV per atom
Spin magnetization ... 0.038 μB per atom
Space group ... Ibam, No. 72
Energy above the most stable polymorph in this dataset ... 184 meV/atom
ΔE_f (raw) ... -4.06 eV per formula unit

Structure (extended XYZ):
```
12
Lattice="-2.266 4.454 -5.413 -1.784 -6.411 -4.528 -4.929 0.902 7.819" Properties=species:S:1:pos:R:3 pbc="T T T"
La -5.659 0.579 -2.167
La -4.768 3.785 0.097
La -1.579 0.624 -3.838
La -4.211 -4.840 -2.219
Sb -3.654 -1.780 -3.193
Sb -5.424 -4.039 0.702
La -3.319 -1.634 0.045
Nd -0.892 -3.205 -2.264
La -2.471 -2.581 -6.102
Sb -5.325 0.726 1.071
Sb -3.555 2.984 -2.825
Nd 0.000 0.000 0.000
```